## BaTlIr (GGA-PBE)

Data for an optimized crystal structure of BaTlIr.

- ΔH_f (0 K) (eV per atom) = -0.0233
- uncorrected energy (eV/atom) = -4.407

Cell: 4.7126 4.7126 4.7403 Å, 90.00 90.00 120.00°
Closest atoms and distances in Å follow each position.
Space group P-6m2 (No. 187)
Symmetry-distinct sites (fractional):
Ba1 0.0000 0.0000 0.0000 [1 per cell]  6 Tl 3.61, 6 Ir 3.61
Tl1 0.3333 0.6667 0.5000 [1 per cell]  3 Ir 2.72
Ir1 0.6667 0.3333 0.5000 [1 per cell]  3 Tl 2.72